(1)
An optimized crystal structure of MnCd2Rh, computed with GGA-PBE.

Cell: 7.4776 7.4776 5.5032 Å, 90.00 90.00 90.00°
Space group I-42d (No. 122)
Unique sites:
Mn1 0.0000 0.0000 0.0000
Cd1 0.2423 0.2500 0.6250
Rh1 0.0000 0.0000 0.5000

Summary:
The excess energy over the best structure of this formula in the dataset comes out at 402 meV per atom. The total magnetization is 17.3 μB/cell. For the total energy, the calculation gives -4.209 eV/atom.

(2)
An optimized crystal structure of Al3Ni2, computed with GGA-PBE.

Cell: 4.0420 4.0420 4.9005 Å, 90.00 90.00 120.00°
Space group P-3m1 (No. 164)
Unique sites:
Al1 0.0000 0.0000 0.0000
Al2 0.3333 0.6667 0.3530
Ni1 0.3333 0.6667 0.8530

Summary:
The total magnetization is 0.0 μB/cell. For the total energy, the calculation gives -5.171 eV/atom.

(3)
An optimized crystal structure of Al4CoSi, computed with GGA-PBE.

Cell: 7.2302 7.2302 7.2302 Å, 90.00 90.00 90.00°
Space group F-43m (No. 216)
Unique sites:
Al1 0.1255 0.1255 0.1255
Co1 0.0000 0.0000 0.5000
Si1 0.2500 0.2500 0.7500

Summary:
The calculation puts the formation energy (no corrections) at 0.3829 eV/atom. The total magnetization is 5.7 μB/cell. For the total energy, the calculation gives -4.200 eV/atom.

(4)
An optimized crystal structure of YCd3As, computed with GGA-PBE.

Cell: 5.7738 5.7738 5.7738 Å, 90.00 90.00 90.00°
Space group Pm-3m (No. 221)
Unique sites:
Y1 0.0000 0.0000 0.0000
Cd1 0.0000 0.0000 0.5000
As1 0.5000 0.5000 0.5000

Summary:
The excess energy over the best structure of this formula in the dataset comes out at 679 meV per atom. The total magnetization is 0.0 μB/cell. For the total energy, the calculation gives -1.796 eV/atom.

(5)
An optimized crystal structure of PrDy7Y2, computed with GGA-PBE.

Cell: 8.6422 16.8445 5.4488 Å, 90.00 90.00 90.00°
Space group Cmmm (No. 65)
Unique sites:
Pr1 0.0000 0.0000 0.0000
Dy1 0.0000 0.2040 0.0000
Dy2 0.0000 0.5000 0.5000
Dy3 0.1772 0.1111 0.5000
Y1 0.0000 0.2962 0.5000

Summary:
The excess energy over the best structure of this formula in the dataset comes out at 688 meV per atom. The total magnetization is 0.0 μB/cell. For the total energy, the calculation gives -4.287 eV/atom.

(6)
An optimized crystal structure of TaReAg2, computed with GGA-PBE.

Cell: 2.7139 2.7139 9.1161 Å, 90.00 90.00 90.00°
Space group P4/mmm (No. 123)
Unique sites:
Ta1 0.0000 0.0000 0.0000
Re1 0.0000 0.0000 0.5000
Ag1 0.5000 0.5000 0.2536

Summary:
The excess energy over the best structure of this formula in the dataset comes out at 363 meV per atom. The total magnetization is 0.0 μB/cell. For the total energy, the calculation gives -6.915 eV/atom.

(7)
An optimized crystal structure of VSe3I, computed with GGA-PBE.

Cell: 4.8871 4.8871 4.8871 Å, 90.00 90.00 90.00°
Space group Pm-3m (No. 221)
Unique sites:
V1 0.0000 0.0000 0.0000
Se1 0.0000 0.0000 0.5000
I1 0.5000 0.5000 0.5000

Summary:
The calculation puts the formation energy (no corrections) at 0.0233 eV/atom. The excess energy over the best structure of this formula in the dataset comes out at 368 meV per atom. The total magnetization is 0.0 μB/cell. For the total energy, the calculation gives -4.201 eV/atom.

(8)
An optimized crystal structure of PrNd4Ho7, computed with GGA-PBE.

Cell: 12.1798 5.9300 12.8025 Å, 90.00 117.92 90.00°
Space group C2/m (No. 12)
Unique sites:
Pr1 0.0000 0.0000 0.0000
Nd1 0.1347 0.5000 0.7766
Nd2 0.2295 0.0000 0.6706
Ho1 0.0000 0.5000 0.0000
Ho2 0.0671 0.0000 0.3192
Ho3 0.1324 0.5000 0.4972
Ho4 0.2108 0.0000 0.9229

Summary:
The excess energy over the best structure of this formula in the dataset comes out at 242 meV per atom. The total magnetization is 0.0 μB/cell. For the total energy, the calculation gives -4.405 eV/atom.

(9)
An optimized crystal structure of SmZn2Ni9, computed with GGA-PBE.

Cell: 8.0829 8.0829 4.7541 Å, 90.00 90.00 90.00°
Space group P4/mbm (No. 127)
Unique sites:
Sm1 0.0000 0.0000 0.0000
Zn1 0.1176 0.3824 0.0000
Ni1 0.0000 0.5000 0.5000
Ni2 0.0646 0.2106 0.5000
Ni3 0.1783 0.6783 0.2428

Summary:
The total magnetization is 5.8 μB/cell. For the total energy, the calculation gives -5.156 eV/atom.

(10)
An optimized crystal structure of LaSnBi2, computed with GGA-PBE.

Cell: 3.8858 3.8858 32.7058 Å, 90.00 90.00 120.00°
Space group R-3m (No. 166, hexagonal axes)
Unique sites:
La1 0.0000 0.0000 0.0000
Sn1 0.0000 0.0000 0.5000
Bi1 0.0000 0.0000 0.0996

Summary:
The total magnetization is 0.0 μB/cell. For the total energy, the calculation gives -4.026 eV/atom.

(11)
An optimized crystal structure of Sr2VP2, computed with GGA-PBE.

Cell: 7.2636 7.2636 4.4526 Å, 90.00 90.00 90.00°
Space group P4/mbm (No. 127)
Unique sites:
Sr1 0.1524 0.3476 0.0000
V1 0.0000 0.0000 0.5000
P1 0.1639 0.6639 0.5000

Summary:
The total magnetization is 5.9 μB/cell. For the total energy, the calculation gives -5.180 eV/atom.

(12)
An optimized crystal structure of Cu2HgP, computed with GGA-PBE.

Cell: 5.7578 7.4514 2.8703 Å, 90.00 90.00 90.00°
Space group Cmmm (No. 65)
Unique sites:
Cu1 0.2500 0.2500 0.0000
Hg1 0.0000 0.0000 0.5000
P1 0.0000 0.5000 0.5000

Summary:
The total magnetization is 0.0 μB/cell. For the total energy, the calculation gives -3.120 eV/atom.